# PrThBi

PrThBi after structural relaxation (PBE, Alexandria via LeMat-Bulk).

Unit cell a=4.236 b=4.236 c=10.850 alpha=90.00 beta=90.00 gamma=90.00
Element x y z (fractional)
Pr (0.250, 0.250, 0.098)
Pr (0.750, 0.750, 0.902)
Th (0.250, 0.250, 0.405)
Th (0.750, 0.750, 0.595)
Bi (0.250, 0.250, 0.751)
Bi (0.750, 0.750, 0.249)

Computed properties:
Electronic total energy, Ha/atom: -0.21057